# ScPbS2F

An optimized crystal structure of ScPbS2F (PBE, the Alexandria database).

a b c (Å): 5.079 5.079 4.046
angles (deg): 90.00 90.00 90.00
Atoms (fractional coordinates):
Sc 0.000 0.000 0.000
Pb 0.500 0.500 0.500
S 0.000 0.500 0.000
S 0.500 0.000 0.000
F 0.000 0.000 0.500

Calculated values
magnetization	0.00	μB/atom
energy relative to the elements, uncorrected	-41.99	kcal/mol of atoms

# RbTl2FeAu

An optimized crystal structure of RbTl2FeAu (PBE, the Alexandria database).

a b c (Å): 5.229 5.229 5.218
angles (deg): 90.00 90.00 90.00
Atoms (fractional coordinates):
Rb 0.000 0.000 0.000
Tl 0.000 0.500 0.500
Tl 0.500 0.000 0.500
Fe 0.500 0.500 0.500
Au 0.500 0.500 0.000

Calculated values
magnetization	0.38	μB/atom
formation enthalpy at 0 K	180	meV per atom
DOS(E_F)	4.69	states/eV/cell

# LaMoPb2

An optimized crystal structure of LaMoPb2 (PBE, the Alexandria database).

a b c (Å): 3.328 4.885 6.458
angles (deg): 90.00 102.42 90.00
Atoms (fractional coordinates):
La 0.000 0.000 0.000
Mo 0.500 0.000 0.500
Pb 0.347 0.500 0.725
Pb 0.653 0.500 0.275

Calculated values
magnetization	0.00	μB/atom
relative energy among the computed polymorphs	101	meV per atom
formation enthalpy at 0 K	262	meV per atom
DOS(E_F)	4.23	states/eV/cell

What did the first record say?
# ScPbS2F

An optimized crystal structure of ScPbS2F (PBE, the Alexandria database).

a b c (Å): 5.079 5.079 4.046
angles (deg): 90.00 90.00 90.00
Atoms (fractional coordinates):
Sc 0.000 0.000 0.000
Pb 0.500 0.500 0.500
S 0.000 0.500 0.000
S 0.500 0.000 0.000
F 0.000 0.000 0.500

Calculated values
magnetization	0.00	μB/atom
energy relative to the elements, uncorrected	-41.99	kcal/mol of atoms

Q: What is the magnetization in the third record?
A: 0.00 μB/atom